Here is FeSbP2 after structural relaxation from Alexandria. Energies are from PBE.

## Properties
The value obtained for the magnetization is 1.0 μB/f.u. The value obtained for the uncorrected formation energy is 0.61 eV per formula unit.

Cell and atoms, written as POSCAR:
```
FeSbP2
1.0
3.049 0.000 0.000
0.000 3.049 0.000
0.000 0.000 7.234
Fe Sb P
1 1 2
Direct
0.000 0.000 0.000
0.500 0.500 0.751
0.000 0.000 0.325
0.500 0.500 0.163
```


Here is FeSb2P after structural relaxation from Alexandria. Energies are from PBE.

## Properties
The value obtained for the magnetization is 2.9 μB/f.u. The value obtained for the uncorrected formation energy is 2.33 eV per formula unit.

Cell and atoms, written as POSCAR:
```
FeSb2P
1.0
-1.827 2.648 4.194
1.827 -2.648 4.194
1.827 2.648 -4.194
Fe Sb P
1 2 1
Direct
0.000 0.000 0.000
0.260 0.760 0.500
0.740 0.240 0.500
0.500 0.500 0.000
```


Here is Fe2SbP after structural relaxation from Alexandria. Energies are from PBE.

## Properties
The value obtained for the magnetization is 1.5 μB/f.u. The value obtained for the uncorrected formation energy is -0.30 eV per formula unit.

Cell and atoms, written as POSCAR:
```
Fe2SbP
1.0
1.732 1.000 5.741
-1.732 1.000 5.741
0.000 -2.000 5.741
Fe Sb P
2 1 1
Direct
0.219 0.219 0.219
0.781 0.781 0.781
0.000 0.000 0.000
0.500 0.500 0.500
```


Here is Fe2SbP after structural relaxation from Alexandria. Energies are from PBE.

## Properties
The value obtained for the magnetization is 4.4 μB/f.u. The value obtained for the uncorrected formation energy is 0.90 eV per formula unit.

Cell and atoms, written as POSCAR:
```
Fe2SbP
1.0
1.590 0.918 7.402
-1.590 0.918 7.402
0.000 -1.836 7.402
Fe Sb P
2 1 1
Direct
0.000 0.000 0.000
0.256 0.256 0.256
0.501 0.501 0.501
0.725 0.725 0.725
```


Here is Fe2SbP after structural relaxation from Alexandria. Energies are from PBE.

## Properties
The value obtained for the magnetization is 2.3 μB/f.u. The value obtained for the uncorrected formation energy is 1.10 eV per formula unit.

Cell and atoms, written as POSCAR:
```
Fe2SbP
1.0
2.982 -2.992 0.000
2.982 2.992 0.000
0.000 0.000 3.066
Fe Sb P
2 1 1
Direct
0.000 0.500 0.000
0.500 0.000 0.000
0.000 0.000 0.500
0.500 0.500 0.500
```


Here is Fe4SbP after structural relaxation from Alexandria. Energies are from PBE.

## Properties
The value obtained for the magnetization is 9.9 μB/f.u. The value obtained for the uncorrected formation energy is 1.90 eV per formula unit.

Cell and atoms, written as POSCAR:
```
Fe4SbP
1.0
0.000 3.488 3.488
3.488 0.000 3.488
3.488 3.488 0.000
Fe Sb P
4 1 1
Direct
0.125 0.125 0.125
0.125 0.125 0.626
0.125 0.626 0.125
0.626 0.125 0.125
0.500 0.500 0.500
0.750 0.750 0.750
```


Here is Fe2SbP after structural relaxation from Alexandria. Energies are from PBE.

## Properties
The value obtained for the magnetization is 1.9 μB/f.u. The value obtained for the uncorrected formation energy is 1.04 eV per formula unit.

Cell and atoms, written as POSCAR:
```
Fe2SbP
1.0
0.000 3.000 3.000
3.000 0.000 3.000
3.000 3.000 0.000
Fe Sb P
2 1 1
Direct
0.250 0.250 0.250
0.750 0.750 0.750
0.000 0.000 0.000
0.500 0.500 0.500
```


Here is FeSbP after structural relaxation from Alexandria. Energies are from PBE.

## Properties
The value obtained for the magnetization is 0.0 μB/f.u. The value obtained for the uncorrected formation energy is 0.36 eV per formula unit.

Cell and atoms, written as POSCAR:
```
FeSbP
1.0
0.000 2.928 2.928
2.928 0.000 2.928
2.928 2.928 0.000
Fe Sb P
1 1 1
Direct
0.000 0.000 0.000
0.250 0.250 0.250
0.750 0.750 0.750
```


Here is Fe2SbP after structural relaxation from Alexandria. Energies are from PBE.

## Properties
The value obtained for the magnetization is 1.4 μB/f.u. The value obtained for the uncorrected formation energy is -0.23 eV per formula unit.

Cell and atoms, written as POSCAR:
```
Fe2SbP
1.0
3.808 -1.502 0.000
3.808 1.502 0.000
-0.984 0.000 5.258
Fe Sb P
2 1 1
Direct
0.000 0.000 0.000
0.745 0.745 0.323
0.245 0.245 0.738
0.454 0.454 0.280
```


Here is FeSbP2 after structural relaxation from Alexandria. Energies are from PBE.

## Properties
The value obtained for the magnetization is 0.0 μB/f.u. The value obtained for the uncorrected formation energy is 0.10 eV per formula unit.

Cell and atoms, written as POSCAR:
```
FeSbP2
1.0
4.204 0.000 0.000
0.000 3.681 0.000
-1.422 0.000 4.320
Fe Sb P
1 1 2
Direct
0.000 0.000 0.000
0.500 0.000 0.500
0.233 0.500 0.867
0.767 0.500 0.133
```


Here is FeSbP2 after structural relaxation from Alexandria. Energies are from PBE.

## Properties
The value obtained for the magnetization is 0.0 μB/f.u. The value obtained for the uncorrected formation energy is -0.11 eV per formula unit.

Cell and atoms, written as POSCAR:
```
FeSbP2
1.0
3.338 -1.439 0.000
3.338 1.439 0.000
-2.339 0.000 7.667
Fe Sb P
1 1 2
Direct
0.000 0.000 0.000
0.500 0.500 0.500
0.346 0.346 0.142
0.654 0.654 0.858
```


Here is FeSbP2 after structural relaxation from Alexandria. Energies are from PBE.

## Properties
The value obtained for the magnetization is 2.6 μB/f.u. The value obtained for the uncorrected formation energy is 2.64 eV per formula unit.

Cell and atoms, written as POSCAR:
```
FeSbP2
1.0
3.199 0.000 0.000
0.000 4.328 0.000
0.000 0.000 4.837
Fe Sb P
1 1 2
Direct
0.000 0.000 0.000
0.500 0.500 0.000
0.000 0.500 0.500
0.500 0.000 0.500
```


Here is FeSb2P after structural relaxation from Alexandria. Energies are from PBE.

## Properties
The value obtained for the magnetization is 1.7 μB/f.u. The value obtained for the uncorrected formation energy is 0.45 eV per formula unit.

Cell and atoms, written as POSCAR:
```
FeSb2P
1.0
3.171 0.000 0.000
0.000 3.171 0.000
0.000 0.000 7.897
Fe Sb P
1 2 1
Direct
0.000 0.000 0.000
0.000 0.000 0.359
0.500 0.500 0.758
0.500 0.500 0.109
```


Here is FeSb2P after structural relaxation from Alexandria. Energies are from PBE.

## Properties
The value obtained for the magnetization is 2.3 μB/f.u. The value obtained for the uncorrected formation energy is 1.52 eV per formula unit.

Cell and atoms, written as POSCAR:
```
FeSb2P
1.0
-2.976 2.976 5.961
2.976 -2.976 5.961
2.976 2.976 -5.961
Fe Sb P
2 4 2
Direct
0.000 0.000 0.000
0.750 0.250 0.500
0.104 0.625 0.979
0.375 0.354 0.479
0.646 0.125 0.021
0.875 0.896 0.521
0.250 0.750 0.500
0.500 0.500 0.000
```


Here is FeSb2P after structural relaxation from Alexandria. Energies are from PBE.

## Properties
The value obtained for the magnetization is 0.0 μB/f.u. The value obtained for the uncorrected formation energy is 0.50 eV per formula unit.

Cell and atoms, written as POSCAR:
```
FeSb2P
1.0
1.729 0.998 8.029
-1.729 0.998 8.029
0.000 -1.997 8.029
Fe Sb P
1 2 1
Direct
0.000 0.000 0.000
0.514 0.514 0.514
0.740 0.740 0.740
0.299 0.299 0.299
```